# Tb2AgBi

A relaxed structure of Tb2AgBi (PBE, Alexandria via LeMat-Bulk).

Results
N(E_F): 3.8 states/eV/cell
energy relative to the elements: -0.4728 eV per atom

a = 5.1033 Å, b = 5.1033 Å, c = 4.0986 Å
α = 90.00°, β = 90.00°, γ = 90.00°
With the nearest neighbours (Å) after each atom.
Positions (direct):
1 Tb 0.0000 0.5000 0.0000  4 Bi 3.27, 4 Ag 3.27, 4 Tb 3.61
2 Tb 0.5000 0.0000 0.0000  4 Bi 3.27, 4 Ag 3.27, 4 Tb 3.61
3 Ag 0.0000 0.0000 0.5000  8 Tb 3.27, 4 Bi 3.61
4 Bi 0.5000 0.5000 0.5000  8 Tb 3.27, 4 Ag 3.61


# TbAgBi

A relaxed structure of TbAgBi (PBE, Alexandria via LeMat-Bulk).

Results
N(E_F): 2.4 states/eV/cell
energy relative to the elements: 0.0804 eV per atom

a = 8.3229 Å, b = 8.3229 Å, c = 8.3229 Å
α = 156.52°, β = 156.52°, γ = 33.45°
With the nearest neighbours (Å) after each atom.
Positions (direct):
1 Tb 0.0000 0.0000 0.0000  4 Ag 3.10, 1 Bi 3.11, 4 Tb 3.39
2 Ag 0.6238 0.6238 0.0000  1 Bi 2.89, 4 Tb 3.10
3 Bi 0.8051 0.8051 0.0000  1 Ag 2.89, 1 Tb 3.11